Compound: Na2PrPtO4
Source: Alexandria via LeMat-Bulk
Functional: PBE
Structure: optimized geometry

* electronic total energy: -5.503 eV/atom
* SG: I222
* raw formation energy: -1.3415 eV/atom

Structure (extended XYZ):
```
8
Lattice="-1.764 4.621 3.366 -3.559 -0.513 4.156 2.668 1.588 4.535" Properties=species:S:1:pos:R:3 pbc="T T T"
O -3.694 4.684 9.074
O -1.756 0.069 2.812
O -0.406 4.332 8.301
O 0.544 2.306 3.926
Pr 0.000 0.000 0.000
Na 0.120 3.336 6.116
Na -2.775 2.359 5.940
Pt -0.446 0.537 4.345
```

Compound: Na3Pr3PtO8
Source: Alexandria via LeMat-Bulk
Functional: PBE
Structure: optimized geometry

* electronic total energy: -6.417 eV/atom
* SG: R-3m
* raw formation energy: -2.1497 eV/atom

Structure (extended XYZ):
```
15
Lattice="7.036 0.000 0.000 -3.518 6.092 -0.021 0.000 -4.043 5.583" Properties=species:S:1:pos:R:3 pbc="T T T"
Pr 3.518 -2.022 2.792
Pr 1.759 1.024 2.781
Pr -1.759 1.024 2.781
O 3.518 2.274 1.636
O 1.965 3.178 3.915
O 1.553 -1.129 1.647
O 0.000 -0.225 3.927
O 5.483 -1.129 1.647
O -1.965 3.178 3.915
O 3.518 0.013 3.997
O 0.000 2.036 1.565
Na -1.759 3.046 -0.010
Na 1.759 3.046 -0.010
Na 0.000 0.000 0.000
Pt 0.000 -2.022 2.792
```

Compound: NaPr2PtO5
Source: Alexandria via LeMat-Bulk
Functional: PBE
Structure: optimized geometry

* electronic total energy: -6.812 eV/atom
* SG: P4/mbm
* raw formation energy: -2.1771 eV/atom

Structure (extended XYZ):
```
18
Lattice="5.866 0.000 0.000 0.000 6.895 0.000 0.000 0.000 6.895" Properties=species:S:1:pos:R:3 pbc="T T T"
O 4.387 5.966 2.518
O 1.479 0.929 4.377
O 4.387 0.929 4.377
O 4.387 4.377 5.966
O 4.387 2.518 0.929
O 1.479 5.966 2.518
O 1.479 2.518 0.929
O 2.933 3.447 3.447
O 1.479 4.377 5.966
O 2.933 0.000 0.000
Pt 0.000 3.447 0.000
Pt 0.000 0.000 3.447
Na 0.000 3.447 3.447
Na 0.000 0.000 0.000
Pr 2.933 5.672 4.670
Pr 2.933 1.222 2.225
Pr 2.933 4.670 1.222
Pr 2.933 2.225 5.672
```

Compound: Na2Pr2PuO6
Source: Alexandria via LeMat-Bulk
Functional: PBE
Structure: optimized geometry

* electronic total energy: -7.771 eV/atom
* SG: C2/m
* raw formation energy: -2.6549 eV/atom

Structure (extended XYZ):
```
11
Lattice="-1.398 -1.500 5.891 5.834 -0.693 -2.096 -0.017 5.906 0.581" Properties=species:S:1:pos:R:3 pbc="T T T"
O 3.362 2.482 3.295
O 1.057 1.232 1.081
O 2.335 -0.093 4.490
O 4.695 0.171 1.884
O -0.277 3.543 2.492
O 2.083 3.806 -0.114
Na 4.722 -0.817 -0.868
Na -0.287 -1.376 4.663
Pr 3.402 1.990 0.871
Pr 1.016 1.724 3.505
Pu -0.009 2.953 0.291
```

Compound: Na2PrPuO6
Source: Alexandria via LeMat-Bulk
Functional: PBE
Structure: optimized geometry

* electronic total energy: -7.605 eV/atom
* SG: P2_1/c
* raw formation energy: -2.4552 eV/atom

Structure (extended XYZ):
```
20
Lattice="5.835 0.000 -0.023 0.000 6.024 0.000 0.018 0.000 8.408" Properties=species:S:1:pos:R:3 pbc="T T T"
Na 0.041 5.786 2.138
Na 5.812 0.237 6.247
Na 2.885 2.775 2.054
Na 2.968 3.249 6.331
O 3.537 0.286 2.278
O 4.188 1.962 7.976
O 0.980 1.319 0.521
O 3.907 1.693 4.714
O 2.317 5.737 6.107
O 4.592 4.974 4.602
O 1.262 1.049 3.784
O 5.226 3.298 1.892
O 4.874 4.705 7.864
O 1.947 4.330 3.672
O 1.665 4.061 0.409
O 0.628 2.726 6.494
Pr 2.918 0.000 -0.011
Pr 0.009 3.012 4.204
Pu 2.927 0.000 4.193
Pu 0.000 3.012 0.000
```

Compound: Na3Pr2PuO6
Source: Alexandria via LeMat-Bulk
Functional: PBE
Structure: optimized geometry

* electronic total energy: -7.290 eV/atom
* SG: C2/m
* raw formation energy: -2.4903 eV/atom

Structure (extended XYZ):
```
12
Lattice="6.221 -0.003 0.003 -3.112 5.387 0.003 -1.035 -1.792 5.648" Properties=species:S:1:pos:R:3 pbc="T T T"
Na 1.037 1.796 2.827
Na 4.199 -0.030 2.827
Na -2.125 3.622 2.827
O 0.055 3.594 4.422
O -0.024 -0.041 4.425
O 2.098 3.633 1.229
O 3.085 1.843 4.422
O -1.011 1.749 1.231
O 2.020 -0.001 1.231
Pr 3.113 1.792 0.003
Pr -0.003 3.592 0.003
Pu 0.000 0.000 0.000
```